[1]
VASP calculation (PBE) on a relaxed structure of GaAuOF2.

The structure in CIF format:
```
data_GaAuOF2
_cell_length_a 4.6103
_cell_length_b 4.6103
_cell_length_c 3.9108
_cell_angle_alpha 90.00
_cell_angle_beta 90.00
_cell_angle_gamma 90.00
_symmetry_space_group_name_H-M 'P 4/m m m'
_symmetry_Int_Tables_number 123
_symmetry_space_group_name_Hall '-P 4 2'
loop_
_atom_site_label
_atom_site_type_symbol
_atom_site_fract_x
_atom_site_fract_y
_atom_site_fract_z
Ga1 Ga 0.0000 0.0000 0.0000
Au1 Au 0.5000 0.5000 0.5000
O1 O 0.5000 0.5000 0.0000
F1 F 0.0000 0.5000 0.5000
```

Output
Relative energy among the computed polymorphs in meV/atom: 626



[2]
VASP calculation (PBE) on a relaxed structure of CaRhAu2.

The structure in CIF format:
```
data_CaRhAu2
_cell_length_a 5.9234
_cell_length_b 5.9307
_cell_length_c 8.5631
_cell_angle_alpha 90.00
_cell_angle_beta 90.00
_cell_angle_gamma 90.00
_symmetry_space_group_name_H-M 'F 2 2 2'
_symmetry_Int_Tables_number 22
_symmetry_space_group_name_Hall 'F 2 2'
loop_
_atom_site_label
_atom_site_type_symbol
_atom_site_fract_x
_atom_site_fract_y
_atom_site_fract_z
Ca1 Ca 0.0000 0.0000 0.0000
Rh1 Rh 0.2500 0.2500 0.2500
Au1 Au 0.0000 0.0000 0.5000
Au2 Au 0.2500 0.2500 0.7500
```

Output
Formation energy in eV/atom: -0.3498



[3]
VASP calculation (PBE) on a relaxed structure of Sn6SbPb12.

The structure in CIF format:
```
data_Sn6SbPb12
_cell_length_a 11.7732
_cell_length_b 11.7732
_cell_length_c 14.7764
_cell_angle_alpha 90.00
_cell_angle_beta 90.00
_cell_angle_gamma 120.00
_symmetry_space_group_name_H-M 'R -3'
_symmetry_Int_Tables_number 148
_symmetry_space_group_name_Hall '-R 3'
loop_
_atom_site_label
_atom_site_type_symbol
_atom_site_fract_x
_atom_site_fract_y
_atom_site_fract_z
Sn1 Sn 0.0250 0.4409 0.1967
Sb1 Sb 0.0000 0.0000 0.5000
Pb1 Pb 0.0255 0.1902 0.3156
Pb2 Pb 0.0647 0.8516 0.9117
```

Output
Relative energy among the computed polymorphs in meV/atom: 0



[4]
VASP calculation (PBE) on a relaxed structure of CeMgTlHg.

The structure in CIF format:
```
data_CeMgTlHg
_cell_length_a 7.4312
_cell_length_b 7.4312
_cell_length_c 7.4312
_cell_angle_alpha 90.00
_cell_angle_beta 90.00
_cell_angle_gamma 90.00
_symmetry_space_group_name_H-M 'F -4 3 m'
_symmetry_Int_Tables_number 216
_symmetry_space_group_name_Hall 'F -4 2 3'
loop_
_atom_site_label
_atom_site_type_symbol
_atom_site_fract_x
_atom_site_fract_y
_atom_site_fract_z
Ce1 Ce 0.0000 0.0000 0.0000
Mg1 Mg 0.0000 0.0000 0.5000
Tl1 Tl 0.2500 0.2500 0.7500
Hg1 Hg 0.2500 0.2500 0.2500
```

Output
Formation energy in eV/atom: -0.3122



[5]
VASP calculation (PBE) on a relaxed structure of Tm3Si3Os2.

The structure in CIF format:
```
data_Tm3Si3Os2
_cell_length_a 4.1681
_cell_length_b 10.5545
_cell_length_c 13.5470
_cell_angle_alpha 90.00
_cell_angle_beta 90.00
_cell_angle_gamma 90.00
_symmetry_space_group_name_H-M 'C m c m'
_symmetry_Int_Tables_number 63
_symmetry_space_group_name_Hall '-C 2c 2'
loop_
_atom_site_label
_atom_site_type_symbol
_atom_site_fract_x
_atom_site_fract_y
_atom_site_fract_z
Tm1 Tm 0.0000 0.0754 0.1156
Tm2 Tm 0.0000 0.3576 0.2500
Si1 Si 0.0000 0.3286 0.7500
Si2 Si 0.0000 0.3850 0.0381
Os1 Os 0.0000 0.2123 0.5824
```

Output
Relative energy among the computed polymorphs in meV/atom: 0



[6]
VASP calculation (PBE) on a relaxed structure of PrTm3Tl2.

The structure in CIF format:
```
data_PrTm3Tl2
_cell_length_a 16.3805
_cell_length_b 5.3803
_cell_length_c 9.2555
_cell_angle_alpha 90.00
_cell_angle_beta 119.23
_cell_angle_gamma 90.00
_symmetry_space_group_name_H-M 'C 1 2/m 1'
_symmetry_Int_Tables_number 12
loop_
_symmetry_equiv_pos_as_xyz
'x,y,z'
'-x,-y,-z'
'-x,y,-z'
'x,-y,z'
'x+1/2,y+1/2,z'
'-x+1/2,-y+1/2,-z'
'-x+1/2,y+1/2,-z'
'x+1/2,-y+1/2,z'
loop_
_atom_site_label
_atom_site_type_symbol
_atom_site_fract_x
_atom_site_fract_y
_atom_site_fract_z
Pr1 Pr 0.1325 0.0000 0.1723
Tm1 Tm 0.0609 0.0000 0.7142
Tm2 Tm 0.1141 0.5000 0.5390
Tm3 Tm 0.1933 0.5000 0.9866
Tl1 Tl 0.0168 0.5000 0.1719
Tl2 Tl 0.2212 0.0000 0.5968
```

Output
Formation energy in eV/atom: -0.1681
Relative energy among the computed polymorphs in meV/atom: 86



[7]
VASP calculation (PBE) on a relaxed structure of YMnSi2.

The structure in CIF format:
```
data_YMnSi2
_cell_length_a 3.1337
_cell_length_b 3.1337
_cell_length_c 25.7698
_cell_angle_alpha 90.00
_cell_angle_beta 90.00
_cell_angle_gamma 120.00
_symmetry_space_group_name_H-M 'R 3 m'
_symmetry_Int_Tables_number 160
_symmetry_space_group_name_Hall 'R 3 -2"'
loop_
_atom_site_label
_atom_site_type_symbol
_atom_site_fract_x
_atom_site_fract_y
_atom_site_fract_z
Y1 Y 0.0000 0.0000 0.0000
Mn1 Mn 0.0000 0.0000 0.7636
Si1 Si 0.0000 0.0000 0.2383
Si2 Si 0.0000 0.0000 0.5016
```



[8]
VASP calculation (PBE) on a relaxed structure of La3Pr4Er5.

The structure in CIF format:
```
data_La3Pr4Er5
_cell_length_a 16.2265
_cell_length_b 6.0643
_cell_length_c 9.5194
_cell_angle_alpha 90.00
_cell_angle_beta 116.89
_cell_angle_gamma 90.00
_symmetry_space_group_name_H-M 'C 1 2/m 1'
_symmetry_Int_Tables_number 12
loop_
_symmetry_equiv_pos_as_xyz
'x,y,z'
'-x,-y,-z'
'-x,y,-z'
'x,-y,z'
'x+1/2,y+1/2,z'
'-x+1/2,-y+1/2,-z'
'-x+1/2,y+1/2,-z'
'x+1/2,-y+1/2,z'
loop_
_atom_site_label
_atom_site_type_symbol
_atom_site_fract_x
_atom_site_fract_y
_atom_site_fract_z
La1 La 0.0000 0.0000 0.0000
La2 La 0.2137 0.5000 0.2401
Pr1 Pr 0.0862 0.5000 0.4493
Pr2 Pr 0.2079 0.5000 0.8851
Er1 Er 0.0000 0.5000 0.0000
Er2 Er 0.0690 0.0000 0.6978
Er3 Er 0.1698 0.0000 0.3806
```

Output
Formation energy in eV/atom: 0.2222
Relative energy among the computed polymorphs in meV/atom: 201



[9]
VASP calculation (PBE) on a relaxed structure of ZnH3W.

The structure in CIF format:
```
data_ZnH3W
_cell_length_a 3.5199
_cell_length_b 3.5199
_cell_length_c 3.5199
_cell_angle_alpha 90.00
_cell_angle_beta 90.00
_cell_angle_gamma 90.00
_symmetry_space_group_name_H-M 'P m -3 m'
_symmetry_Int_Tables_number 221
_symmetry_space_group_name_Hall '-P 4 2 3'
loop_
_atom_site_label
_atom_site_type_symbol
_atom_site_fract_x
_atom_site_fract_y
_atom_site_fract_z
Zn1 Zn 0.0000 0.0000 0.0000
H1 H 0.0000 0.5000 0.5000
W1 W 0.5000 0.5000 0.5000
```

Output
Relative energy among the computed polymorphs in meV/atom: 0



[10]
VASP calculation (PBE) on a relaxed structure of GdZrAl4.

The structure in CIF format:
```
data_GdZrAl4
_cell_length_a 7.7154
_cell_length_b 7.7154
_cell_length_c 7.7154
_cell_angle_alpha 90.00
_cell_angle_beta 90.00
_cell_angle_gamma 90.00
_symmetry_space_group_name_H-M 'F -4 3 m'
_symmetry_Int_Tables_number 216
_symmetry_space_group_name_Hall 'F -4 2 3'
loop_
_atom_site_label
_atom_site_type_symbol
_atom_site_fract_x
_atom_site_fract_y
_atom_site_fract_z
Gd1 Gd 0.0000 0.0000 0.0000
Zr1 Zr 0.2500 0.2500 0.2500
Al1 Al 0.1248 0.1248 0.6248
```

Output
Formation energy in eV/atom: -0.5000



[11]
VASP calculation (PBE) on a relaxed structure of NaAcCdO3.

The structure in CIF format:
```
data_NaAcCdO3
_cell_length_a 6.5085
_cell_length_b 3.5923
_cell_length_c 8.7641
_cell_angle_alpha 90.00
_cell_angle_beta 109.75
_cell_angle_gamma 90.00
_symmetry_space_group_name_H-M 'P 1 21/m 1'
_symmetry_Int_Tables_number 11
loop_
_symmetry_equiv_pos_as_xyz
'x,y,z'
'-x,-y,-z'
'-x,y+1/2,-z'
'x,-y+1/2,z'
loop_
_atom_site_label
_atom_site_type_symbol
_atom_site_fract_x
_atom_site_fract_y
_atom_site_fract_z
Na1 Na 0.1522 0.2500 0.0871
Ac1 Ac 0.3076 0.7500 0.7898
Cd1 Cd 0.2931 0.7500 0.3825
O1 O 0.0334 0.2500 0.8055
O2 O 0.3300 0.2500 0.5554
O3 O 0.4012 0.7500 0.0974
```



[12]
VASP calculation (PBE) on a relaxed structure of Hf12Sn5Sb2.

The structure in CIF format:
```
data_Hf12Sn5Sb2
_cell_length_a 17.7352
_cell_length_b 6.2920
_cell_length_c 9.7696
_cell_angle_alpha 90.00
_cell_angle_beta 118.11
_cell_angle_gamma 90.00
_symmetry_space_group_name_H-M 'C 1 2/m 1'
_symmetry_Int_Tables_number 12
loop_
_symmetry_equiv_pos_as_xyz
'x,y,z'
'-x,-y,-z'
'-x,y,-z'
'x,-y,z'
'x+1/2,y+1/2,z'
'-x+1/2,-y+1/2,-z'
'-x+1/2,y+1/2,-z'
'x+1/2,-y+1/2,z'
loop_
_atom_site_label
_atom_site_type_symbol
_atom_site_fract_x
_atom_site_fract_y
_atom_site_fract_z
Hf1 Hf 0.0183 0.0000 0.2838
Hf2 Hf 0.1349 0.5000 0.3021
Hf3 Hf 0.1490 0.2412 0.5772
Hf4 Hf 0.1802 0.2498 0.0935
Sn1 Sn 0.0000 0.5000 0.5000
Sn2 Sn 0.1652 0.0000 0.8391
Sn3 Sn 0.2001 0.0000 0.3680
Sb1 Sb 0.0000 0.2577 0.0000
```



[13]
VASP calculation (PBE) on a relaxed structure of K2NaVPd.

The structure in CIF format:
```
data_K2NaVPd
_cell_length_a 6.1469
_cell_length_b 6.1469
_cell_length_c 5.0152
_cell_angle_alpha 90.00
_cell_angle_beta 90.00
_cell_angle_gamma 90.00
_symmetry_space_group_name_H-M 'P 4/m m m'
_symmetry_Int_Tables_number 123
_symmetry_space_group_name_Hall '-P 4 2'
loop_
_atom_site_label
_atom_site_type_symbol
_atom_site_fract_x
_atom_site_fract_y
_atom_site_fract_z
K1 K 0.0000 0.5000 0.0000
Na1 Na 0.0000 0.0000 0.0000
V1 V 0.5000 0.5000 0.5000
Pd1 Pd 0.0000 0.0000 0.5000
```

Output
Formation energy in eV/atom: 1.0299



Calculated total energy readings, ordered: -3.62; -4.33; -3.74; -2.86; -7.32; -3.99; -6.31; -4.50; -4.40; -6.77; -5.53; -7.73; -2.54 eV per atom
Calculated density readings, ordered: 6.406; 11.855; 9.326; 9.216; 10.828; 9.858; 4.547; 7.221; 9.606; 5.154; 7.067; 10.288; 2.266 g/cm³
Total magnetic moment readings, ordered: 0.0; 0.0; 0.0; 3.9; 0.0; 1.5; 9.9; 0.0; 0.0; 28.5; 0.0; 0.0; 4.2 μB per cell